[1]
Density functional theory data (GGA-PBE) for crystalline Ba2CuPdBr at its relaxed geometry.

Cell lengths 6.1077, 6.1077, 4.8060 Å; angles 90.00, 90.00, 90.00 degrees
With the nearest neighbours (Å) after each atom.
Atoms (fractional coordinates):
Ba  0.5000  0.0000  0.0000  2 Pd 3.05
Pd  0.0000  0.0000  0.0000  2 Cu 2.40
Cu  0.0000  0.0000  0.5000  2 Pd 2.40
Br  0.5000  0.5000  0.5000  8 Ba 3.89, 4 Cu 4.32
Ba  0.0000  0.5000  0.0000  2 Pd 3.05

Formation energy without anion corrections in eV/f.u.: -3.25
Spin magnetization in μB per formula unit: 0.00
E_tot in eV per atom: -3.6123
Volume in Å³/f.u.: 179.3
DOS at the Fermi energy in states/eV/f.u.: 1.26


[2]
Density functional theory data (GGA-PBE) for crystalline BaCuPdBr6 at its relaxed geometry.

Cell lengths 7.6694, 7.4890, 6.9585 Å; angles 93.25, 84.30, 49.12 degrees
With the nearest neighbours (Å) after each atom.
Atoms (fractional coordinates):
Br  0.2905  0.6664  0.3724  1 Cu 2.47, 1 Pd 2.52
Br  0.6315  0.0435  0.1899  1 Pd 2.49
Br  0.0207  0.6027  0.7758  1 Pd 2.48
Cu  0.6298  0.5733  0.4937  4 Br 2.34-2.52
Pd  0.3232  0.3312  0.4803  4 Br 2.48-2.52
Br  0.6171  0.4423  0.8034  1 Cu 2.44
Br  0.9860  0.3792  0.2830  1 Cu 2.34
Ba  0.0783  0.9665  0.9571  7 Br 3.24-3.60
Br  0.4227  0.9950  0.6444  1 Pd 2.49, 1 Cu 2.52

Formation energy without anion corrections in eV/f.u.: -7.62
Spin magnetization in μB per formula unit: 1.11
E_tot in eV per atom: -3.2080
Volume in Å³/f.u.: 296.7
DOS at the Fermi energy in states/eV/f.u.: 6.19